No. 1
Material: SrErTe2
Method: DFT, PBE-GGA
State: relaxed

SG   No. 166
Energy above the lowest structure with this stoichiometry   0.0000 eV/atom
Energy relative to the elements, uncorrected   -1.4582 eV/atom
Total moment   0.00 μB per formula unit
Total energy   -18.36 eV for the cell shown

The structure in POSCAR format:
```
SrErTe2
1.0
-3.295 -0.900 -2.880
0.952 -1.677 -4.030
-1.302 -7.813 0.467
Te Sr Er
2 1 1
direct
0.257 0.257 0.228
0.743 0.743 0.772
0.500 0.500 0.500
0.000 0.000 0.000
```

No. 2
Material: Sc6CoOs
Method: DFT, PBE-GGA
State: relaxed

SG   No. 139
Formation energy   -0.1963 eV per atom
Total moment   2.53 μB per formula unit
Total energy   -57.90 eV for the cell shown

The structure in POSCAR format:
```
Sc6CoOs
1.0
-4.142 -1.686 0.790
0.355 -2.607 -3.702
1.340 -8.012 2.984
Sc Os Co
6 1 1
direct
0.404 0.904 0.191
0.596 0.096 0.809
0.748 0.748 0.505
0.904 0.404 0.191
0.252 0.252 0.495
0.096 0.596 0.809
0.500 0.500 0.000
0.000 0.000 0.000
```

No. 3
Material: CsYI4
Method: DFT, PBE-GGA
State: relaxed

SG   No. 15
Energy above the lowest structure with this stoichiometry   0.0000 eV/atom
Energy relative to the elements, uncorrected   -1.4639 eV/atom
Total moment   0.00 μB per formula unit
Total energy   -44.60 eV for the cell shown

The structure in POSCAR format:
```
CsYI4
1.0
-6.087 -3.563 -3.632
1.539 -7.069 7.835
-4.977 8.916 3.075
Y I Cs
2 8 2
direct
0.750 0.933 0.567
0.250 0.067 0.433
0.363 0.792 0.408
0.203 0.355 0.491
0.297 0.009 0.145
0.703 0.991 0.855
0.863 0.908 0.292
0.637 0.208 0.592
0.797 0.645 0.509
0.137 0.092 0.708
0.750 0.253 0.247
0.250 0.747 0.753
```

No. 4
Material: K4U3FeS8
Method: DFT, PBE-GGA
State: relaxed

SG   No. 166
Energy relative to the elements, uncorrected   -1.2058 eV/atom
Total moment   10.57 μB per formula unit
Total energy   -99.03 eV for the cell shown

The structure in POSCAR format:
```
K4U3FeS8
1.0
-0.505 6.984 -3.733
-8.341 0.690 2.419
5.361 -1.043 5.758
S K U Fe
8 4 3 1
direct
0.739 0.697 0.968
0.771 0.303 0.541
0.771 0.303 0.032
0.261 0.303 0.032
0.265 0.294 0.529
0.229 0.697 0.459
0.229 0.697 0.968
0.735 0.706 0.471
0.000 0.000 0.500
0.500 0.000 0.500
0.500 0.000 0.000
0.000 0.000 0.000
0.500 0.500 0.000
0.000 0.500 0.500
0.500 0.500 0.500
0.000 0.500 0.000
```

Look up the total energy of the first one. -18.36 eV for the cell shown